[1]
Computed, not measured: a crystal of MgSe3N relaxed with PBEsol at the SCAN level of DFT.

Values from the calculation:
* D(E_F): 4.15 states/eV/cell
* total magnetic moment: 0.212 μB per formula unit
* formation energy from raw total energies: 1.108 eV/atom
* V: 123.9 Å³/f.u.
* calculated total energy: -13.79 eV/atom

POSCAR file:
```
MgSe3N
1.0
-4.800 -1.283 0.398
0.941 -2.155 4.395
-0.959 4.308 2.318
Se N Mg
3 1 1
Direct
0.500 0.000 0.000 Se
0.000 0.500 0.000 Se
0.000 0.000 0.500 Se
0.500 0.500 0.500 N
0.000 0.000 0.000 Mg
```

[2]
Computed, not measured: a crystal of CaZn2Te relaxed with PBEsol at the SCAN level of DFT.

Values from the calculation:
* D(E_F): 1.56 states/eV/cell
* total magnetic moment: 0.000 μB per formula unit
* formation energy from raw total energies: -0.323 eV/atom
* V: 91.3 Å³/f.u.
* calculated total energy: -18.81 eV/atom

POSCAR file:
```
CaZn2Te
1.0
4.266 0.000 0.000
0.000 4.719 0.000
-2.133 -2.360 4.536
Te Zn Ca
1 2 1
Direct
0.250 0.750 0.500 Te
0.039 0.039 0.078 Zn
0.721 0.221 0.442 Zn
0.490 0.490 0.979 Ca
```

[3]
Computed, not measured: a crystal of InFe3Si relaxed with PBEsol at the SCAN level of DFT.

Values from the calculation:
* D(E_F): 6.59 states/eV/cell
* total magnetic moment: 9.075 μB per formula unit
* formation energy from raw total energies: 1.720 eV/atom
* V: 101.1 Å³/f.u.
* calculated total energy: -17.84 eV/atom

POSCAR file:
```
InFe3Si
1.0
4.658 0.000 0.000
0.000 4.658 0.000
0.000 0.000 4.658
Si In Fe
1 1 3
Direct
0.500 0.500 0.500 Si
0.000 0.000 0.000 In
0.000 0.500 0.000 Fe
0.500 0.000 0.000 Fe
0.000 0.000 0.500 Fe
```

Number 2 is which compound? CaZn2Te

V of number 2 (CaZn2Te)? 91.3 Å³/f.u.

Which of these has the highest total magnetic moment? InFe3Si

What did the first record say?
Computed, not measured: a crystal of MgSe3N relaxed with PBEsol at the SCAN level of DFT.

Values from the calculation:
* D(E_F): 4.15 states/eV/cell
* total magnetic moment: 0.212 μB per formula unit
* formation energy from raw total energies: 1.108 eV/atom
* V: 123.9 Å³/f.u.
* calculated total energy: -13.79 eV/atom

POSCAR file:
```
MgSe3N
1.0
-4.800 -1.283 0.398
0.941 -2.155 4.395
-0.959 4.308 2.318
Se N Mg
3 1 1
Direct
0.500 0.000 0.000 Se
0.000 0.500 0.000 Se
0.000 0.000 0.500 Se
0.500 0.500 0.500 N
0.000 0.000 0.000 Mg
```